Record 1
VASP calculation (PBE) on crystalline Cd3RuBr at its relaxed geometry.

a b c (Å): 5.2838 5.2838 5.2838
angles (deg): 90.00 90.00 90.00
Last column: nearest neighbours and their distance in Å.
Positions (direct):
Cd 0.0000 0.0000 0.5000  2 Ru 2.64
Ru 0.0000 0.0000 0.0000  6 Cd 2.64
Cd 0.5000 0.0000 0.0000  2 Ru 2.64
Cd 0.0000 0.5000 0.0000  2 Ru 2.64
Br 0.5000 0.5000 0.5000  12 Cd 3.74

Values from the calculation:
The formation energy (no corrections) comes out at 0.475 eV/atom. Its total magnetization is 0.23 μB/atom. The calculation puts the distance to the lowest polymorph of the same formula at 0.0 kJ/mol of formula units. The density of states at the Fermi level comes out at 1.67 states/eV/atom.

Record 2
VASP calculation (PBE) on crystalline Ge19As4Br4 at its relaxed geometry.

a b c (Å): 10.7093 10.7093 10.7093
angles (deg): 90.00 90.00 90.00
Last column: nearest neighbours and their distance in Å.
Positions (direct):
Ge 0.3832 0.5025 0.8104  3 Ge 2.46-2.50, 1 As 2.52
Ge 0.1896 0.6168 0.5025  3 Ge 2.46-2.50, 1 As 2.52
Ge 0.1896 0.3832 0.4975  3 Ge 2.46-2.50, 1 As 2.52
Ge 0.1820 0.8180 0.1820  3 Ge 2.46, 1 As 2.48
Br 0.5000 0.5000 0.5000  16 Ge 3.38-3.55, 4 As 3.42
Ge 0.5025 0.1896 0.6168  3 Ge 2.46-2.50, 1 As 2.52
Ge 0.0000 0.7500 0.5000  4 Ge 2.48
Ge 0.4975 0.1896 0.3832  3 Ge 2.46-2.50, 1 As 2.52
Ge 0.6896 0.9975 0.8832  3 Ge 2.46-2.50, 1 As 2.52
Br 0.0000 0.5000 0.2500  16 Ge 3.57-3.99, 4 As 3.98
Ge 0.6896 0.0025 0.1168  3 Ge 2.46-2.50, 1 As 2.52
Ge 0.1168 0.6896 0.0025  3 Ge 2.46-2.50, 1 As 2.52
Ge 0.8180 0.8180 0.8180  3 Ge 2.46, 1 As 2.48
Br 0.0000 0.0000 0.0000  16 Ge 3.38-3.55, 4 As 3.42
Ge 0.6168 0.4975 0.8104  3 Ge 2.46-2.50, 1 As 2.52
As 0.3159 0.3159 0.6841  4 Ge 2.48-2.52
Ge 0.8180 0.1820 0.1820  3 Ge 2.46, 1 As 2.48
Ge 0.3832 0.4975 0.1896  3 Ge 2.46-2.50, 1 As 2.52
Ge 0.6820 0.3180 0.6820  3 Ge 2.46, 1 As 2.48
Ge 0.6820 0.6820 0.3180  3 Ge 2.46, 1 As 2.48
Ge 0.8832 0.3104 0.0025  3 Ge 2.46-2.50, 1 As 2.52
As 0.6841 0.6841 0.6841  4 Ge 2.48-2.52
Ge 0.5000 0.0000 0.2500  4 Ge 2.48
Ge 0.0025 0.8832 0.3104  3 Ge 2.46-2.50, 1 As 2.52
Ge 0.5000 0.0000 0.7500  4 Ge 2.48
Ge 0.8104 0.3832 0.5025  3 Ge 2.46-2.50, 1 As 2.52
Ge 0.3104 0.0025 0.8832  3 Ge 2.46-2.50, 1 As 2.52
Ge 0.4975 0.8104 0.6168  3 Ge 2.46-2.50, 1 As 2.52
Br 0.5000 0.2500 0.0000  16 Ge 3.57-3.99, 4 As 3.98
Ge 0.7500 0.5000 0.0000  4 Ge 2.48
Ge 0.8104 0.6168 0.4975  3 Ge 2.46-2.50, 1 As 2.52
Ge 0.3180 0.6820 0.6820  3 Ge 2.46, 1 As 2.48
Br 0.2500 0.0000 0.5000  16 Ge 3.57-3.99, 4 As 3.98
Ge 0.9975 0.1168 0.3104  3 Ge 2.46-2.50, 1 As 2.52
Br 0.5000 0.7500 0.0000  16 Ge 3.57-3.99, 4 As 3.98
As 0.8159 0.8159 0.1841  4 Ge 2.48-2.52
Ge 0.1820 0.1820 0.8180  3 Ge 2.46, 1 As 2.48
As 0.1841 0.1841 0.1841  4 Ge 2.48-2.52
Br 0.7500 0.0000 0.5000  16 Ge 3.57-3.99, 4 As 3.98
Ge 0.2500 0.5000 0.0000  4 Ge 2.48
Ge 0.6168 0.5025 0.1896  3 Ge 2.46-2.50, 1 As 2.52
Ge 0.5025 0.8104 0.3832  3 Ge 2.46-2.50, 1 As 2.52
Ge 0.0000 0.2500 0.5000  4 Ge 2.48
Br 0.0000 0.5000 0.7500  16 Ge 3.57-3.99, 4 As 3.98
Ge 0.3104 0.9975 0.1168  3 Ge 2.46-2.50, 1 As 2.52
As 0.6841 0.3159 0.3159  4 Ge 2.48-2.52
As 0.8159 0.1841 0.8159  4 Ge 2.48-2.52
As 0.1841 0.8159 0.8159  4 Ge 2.48-2.52
Ge 0.3180 0.3180 0.3180  3 Ge 2.46, 1 As 2.48
Ge 0.1168 0.3104 0.9975  3 Ge 2.46-2.50, 1 As 2.52
Ge 0.0025 0.1168 0.6896  3 Ge 2.46-2.50, 1 As 2.52
As 0.3159 0.6841 0.3159  4 Ge 2.48-2.52
Ge 0.8832 0.6896 0.9975  3 Ge 2.46-2.50, 1 As 2.52
Ge 0.9975 0.8832 0.6896  3 Ge 2.46-2.50, 1 As 2.52

Values from the calculation:
The formation energy (no corrections) comes out at -0.157 eV/atom. Its total magnetization is 0.00 μB/atom.

Record 3
VASP calculation (PBE) on crystalline CeHoFeNi at its relaxed geometry.

a b c (Å): 4.7563 4.7563 4.7563
angles (deg): 60.00 60.00 60.00
Last column: nearest neighbours and their distance in Å.
Positions (direct):
Ce 0.5000 0.5000 0.5000  4 Fe 2.91, 4 Ni 2.91
Ho 0.0000 0.0000 0.0000  4 Fe 2.91, 4 Ni 2.91
Fe 0.7500 0.7500 0.7500  4 Ho 2.91, 4 Ce 2.91
Ni 0.2500 0.2500 0.2500  4 Ce 2.91, 4 Ho 2.91

Values from the calculation:
Its total magnetization is 0.11 μB/atom. The value obtained for the energy of formation from the pure elements is -0.0850 eV/atom. The density of states at the Fermi level comes out at 1.12 states/eV/atom.